Version A
Density functional theory data (PBE) for crystalline SbTe3H at its relaxed geometry.

Calculated values
Space-group type: Pm-3m

```
SbTe3H
1.0
5.812 0.000 0.000
0.000 5.812 0.000
0.000 0.000 5.812
Sb Te H
1 3 1
Direct
0.000 0.000 0.000
0.000 0.000 0.500
0.000 0.500 0.000
0.500 0.000 0.000
0.500 0.500 0.500
```

***

Version B
Density functional theory data (PBE) for crystalline SbTe3H at its relaxed geometry.

Calculated values
Space-group type: Pm-3m

```
SbTe3H
1.0
4.852 0.000 0.000
0.000 4.852 0.000
0.000 0.000 4.852
Sb Te H
1 3 1
Direct
0.000 0.000 0.000
0.000 0.500 0.500
0.500 0.000 0.500
0.500 0.500 0.000
0.500 0.500 0.500
```

***

version B wins, 0.353 eV/atom ahead of the next structure.

***

Version A
Density functional theory data (PBE) for crystalline Sb2TeH at its relaxed geometry.

Calculated values
Space-group type: Fm-3m

```
Sb2TeH
1.0
7.226 0.000 0.000
0.000 7.226 0.000
0.000 0.000 7.226
Sb Te H
8 4 4
Direct
0.250 0.250 0.250
0.250 0.250 0.750
0.250 0.750 0.250
0.250 0.750 0.750
0.750 0.250 0.250
0.750 0.250 0.750
0.750 0.750 0.250
0.750 0.750 0.750
0.000 0.000 0.000
0.000 0.500 0.500
0.500 0.000 0.500
0.500 0.500 0.000
0.000 0.000 0.500
0.000 0.500 0.000
0.500 0.000 0.000
0.500 0.500 0.500
```

***

Version B
Density functional theory data (PBE) for crystalline Sb2TeH at its relaxed geometry.

Calculated values
Space-group type: I-42d

```
Sb2TeH
1.0
6.172 0.000 0.000
0.000 6.172 0.000
0.000 0.000 10.606
Sb Te H
8 4 4
Direct
0.128 0.250 0.125
0.250 0.628 0.375
0.250 0.872 0.875
0.372 0.250 0.625
0.628 0.750 0.625
0.750 0.128 0.875
0.750 0.372 0.375
0.872 0.750 0.125
0.000 0.000 0.500
0.000 0.500 0.750
0.500 0.000 0.250
0.500 0.500 0.000
0.000 0.000 0.000
0.000 0.500 0.250
0.500 0.000 0.750
0.500 0.500 0.500
```

***

version B wins, 0.184 eV/atom ahead of the next structure.

***

Version A
Density functional theory data (PBE) for crystalline TlSb2TeH at its relaxed geometry.

Calculated values
Space-group type: P4/mmm

```
TlSb2TeH
1.0
4.650 0.000 0.000
0.000 4.650 0.000
0.000 0.000 5.641
Tl Sb Te H
1 2 1 1
Direct
0.000 0.000 0.000
0.000 0.500 0.500
0.500 0.000 0.500
0.500 0.500 0.000
0.500 0.500 0.500
```

***

Version B
Density functional theory data (PBE) for crystalline TlSb2TeH at its relaxed geometry.

Calculated values
Space-group type: P4/mmm

```
TlSb2TeH
1.0
5.778 0.000 0.000
0.000 5.778 0.000
0.000 0.000 5.936
Tl Sb Te H
1 2 1 1
Direct
0.000 0.000 0.000
0.000 0.500 0.000
0.500 0.000 0.000
0.000 0.000 0.500
0.500 0.500 0.500
```

***

version A wins, 0.868 eV/atom ahead of the next structure.

***

Version A
Density functional theory data (PBE) for crystalline TlSbTe2H at its relaxed geometry.

Calculated values
Space-group type: P4/mmm

```
TlSbTe2H
1.0
5.900 0.000 0.000
0.000 5.900 0.000
0.000 0.000 5.820
Tl Sb Te H
1 1 2 1
Direct
0.000 0.000 0.000
0.000 0.000 0.500
0.000 0.500 0.000
0.500 0.000 0.000
0.500 0.500 0.500
```

***

Version B
Density functional theory data (PBE) for crystalline TlSbTe2H at its relaxed geometry.

Calculated values
Space-group type: P4/mmm

```
TlSbTe2H
1.0
6.106 0.000 0.000
0.000 6.106 0.000
0.000 0.000 3.569
Tl Sb Te H
1 1 2 1
Direct
0.000 0.000 0.000
0.500 0.500 0.000
0.000 0.500 0.500
0.500 0.000 0.500
0.500 0.500 0.500
```

***

version B wins, 0.840 eV/atom ahead of the next structure.

***

Version A
Density functional theory data (PBE) for crystalline SbTe2HW at its relaxed geometry.

Calculated values
Space-group type: P4/mmm

```
SbTe2HW
1.0
5.140 0.000 0.000
0.000 5.140 0.000
0.000 0.000 3.722
Sb Te H W
1 2 1 1
Direct
0.000 0.000 0.000
0.000 0.500 0.500
0.500 0.000 0.500
0.000 0.000 0.500
0.500 0.500 0.000
```

***

Version B
Density functional theory data (PBE) for crystalline SbTe2HW at its relaxed geometry.

Calculated values
Space-group type: P4/mmm

```
SbTe2HW
1.0
5.320 0.000 0.000
0.000 5.320 0.000
0.000 0.000 5.327
Sb Te H W
1 2 1 1
Direct
0.000 0.000 0.000
0.000 0.500 0.500
0.500 0.000 0.500
0.500 0.500 0.000
0.000 0.000 0.500
```

***

version B wins, 0.068 eV/atom ahead of the next structure.

***

Version A
Density functional theory data (PBE) for crystalline YSb2TeH at its relaxed geometry.

Calculated values
Space-group type: P4/mmm

```
YSb2TeH
1.0
4.436 0.000 0.000
0.000 4.436 0.000
0.000 0.000 5.966
Y Sb Te H
1 2 1 1
Direct
0.000 0.000 0.000
0.000 0.500 0.500
0.500 0.000 0.500
0.500 0.500 0.000
0.500 0.500 0.500
```

***

Version B
Density functional theory data (PBE) for crystalline YSb2TeH at its relaxed geometry.

Calculated values
Space-group type: P4/mmm

```
YSb2TeH
1.0
5.866 0.000 0.000
0.000 5.866 0.000
0.000 0.000 5.831
Y Sb Te H
1 2 1 1
Direct
0.000 0.000 0.000
0.000 0.500 0.000
0.500 0.000 0.000
0.000 0.000 0.500
0.500 0.500 0.500
```

***

version A wins, 0.763 eV/atom ahead of the next structure.

***

Version A
Density functional theory data (PBE) for crystalline ZnSb2TeH at its relaxed geometry.

Calculated values
Space-group type: P4/mmm

```
ZnSb2TeH
1.0
4.451 0.000 0.000
0.000 4.451 0.000
0.000 0.000 5.524
Zn Sb Te H
1 2 1 1
Direct
0.000 0.000 0.000
0.000 0.500 0.500
0.500 0.000 0.500
0.500 0.500 0.000
0.500 0.500 0.500
```

***

Version B
Density functional theory data (PBE) for crystalline ZnSb2TeH at its relaxed geometry.

Calculated values
Space-group type: P4/mmm

```
ZnSb2TeH
1.0
5.250 0.000 0.000
0.000 5.250 0.000
0.000 0.000 5.451
Zn Sb Te H
1 2 1 1
Direct
0.000 0.000 0.000
0.000 0.500 0.000
0.500 0.000 0.000
0.000 0.000 0.500
0.500 0.500 0.500
```

***

version A wins, 0.447 eV/atom ahead of the next structure.

***

Version A
Density functional theory data (PBE) for crystalline ZrSb2TeH at its relaxed geometry.

Calculated values
Space-group type: P4/mmm

```
ZrSb2TeH
1.0
4.365 0.000 0.000
0.000 4.365 0.000
0.000 0.000 5.663
Zr Sb Te H
1 2 1 1
Direct
0.000 0.000 0.000
0.000 0.500 0.500
0.500 0.000 0.500
0.500 0.500 0.000
0.500 0.500 0.500
```

***

Version B
Density functional theory data (PBE) for crystalline ZrSb2TeH at its relaxed geometry.

Calculated values
Space-group type: P4/mmm

```
ZrSb2TeH
1.0
5.580 0.000 0.000
0.000 5.580 0.000
0.000 0.000 5.605
Zr Sb Te H
1 2 1 1
Direct
0.000 0.000 0.000
0.000 0.500 0.000
0.500 0.000 0.000
0.000 0.000 0.500
0.500 0.500 0.500
```

***

version A wins, 0.341 eV/atom ahead of the next structure.

***

Version A
Density functional theory data (PBE) for crystalline ZrSbTe2H at its relaxed geometry.

Calculated values
Space-group type: P4/mmm

```
ZrSbTe2H
1.0
5.618 0.000 0.000
0.000 5.618 0.000
0.000 0.000 5.603
Zr Sb Te H
1 1 2 1
Direct
0.000 0.000 0.000
0.000 0.000 0.500
0.000 0.500 0.000
0.500 0.000 0.000
0.500 0.500 0.500
```

***

Version B
Density functional theory data (PBE) for crystalline ZrSbTe2H at its relaxed geometry.

Calculated values
Space-group type: P4/mmm

```
ZrSbTe2H
1.0
5.335 0.000 0.000
0.000 5.335 0.000
0.000 0.000 3.790
Zr Sb Te H
1 1 2 1
Direct
0.000 0.000 0.000
0.500 0.500 0.000
0.000 0.500 0.500
0.500 0.000 0.500
0.500 0.500 0.500
```

***

version B wins, 0.245 eV/atom ahead of the next structure.

***

Version A
Density functional theory data (PBE) for crystalline ThSbH at its relaxed geometry.

Calculated values
Space-group type: C2/m

```
ThSbH
1.0
7.296 0.000 0.000
0.000 4.235 0.000
-0.168 0.000 9.599
Th Sb H
4 4 4
Direct
0.166 0.000 0.349
0.334 0.500 0.651
0.666 0.500 0.349
0.834 0.000 0.651
0.006 0.500 0.854
0.494 0.000 0.146
0.506 0.000 0.854
0.994 0.500 0.146
0.165 0.000 0.598
0.335 0.500 0.402
0.665 0.500 0.598
0.835 0.000 0.402
```

***

Version B
Density functional theory data (PBE) for crystalline ThSbH at its relaxed geometry.

Calculated values
Space-group type: P-6m2

```
ThSbH
1.0
4.179 0.000 0.000
-2.089 3.619 0.000
0.000 0.000 4.302
Th Sb H
1 1 1
Direct
0.000 0.000 0.000
0.667 0.333 0.500
0.333 0.667 0.000
```

***

version B wins, 0.523 eV/atom ahead of the next structure.

***

Version A
Density functional theory data (PBE) for crystalline ThSbH at its relaxed geometry.

Calculated values
Space-group type: Pnma

```
ThSbH
1.0
8.465 0.000 0.000
0.000 4.145 0.000
0.000 0.000 7.619
Th Sb H
4 4 4
Direct
0.006 0.250 0.212
0.494 0.750 0.712
0.506 0.250 0.288
0.994 0.750 0.788
0.213 0.250 0.573
0.287 0.750 0.073
0.713 0.250 0.927
0.787 0.750 0.427
0.054 0.250 0.918
0.446 0.750 0.418
0.554 0.250 0.582
0.946 0.750 0.082
```

***

Version B
Density functional theory data (PBE) for crystalline ThSbH at its relaxed geometry.

Calculated values
Space-group type: I4mm

```
ThSbH
1.0
4.230 0.000 0.000
0.000 4.230 0.000
0.000 0.000 8.548
Th Sb H
2 2 2
Direct
0.000 0.000 0.000
0.500 0.500 0.500
0.000 0.000 0.625
0.500 0.500 0.125
0.000 0.000 0.256
0.500 0.500 0.756
```

***

version A wins, 0.549 eV/atom ahead of the next structure.

***

Version A
Density functional theory data (PBE) for crystalline Th3SbH at its relaxed geometry.

Calculated values
Space-group type: Cmmm

```
Th3SbH
1.0
3.585 -7.446 0.000
3.585 7.446 0.000
0.000 0.000 4.622
Th Sb H
6 2 2
Direct
0.000 0.500 0.500
0.124 0.876 0.000
0.276 0.276 0.500
0.500 0.000 0.500
0.724 0.724 0.500
0.876 0.124 0.000
0.364 0.636 0.000
0.636 0.364 0.000
0.130 0.870 0.500
0.870 0.130 0.500
```

***

Version B
Density functional theory data (PBE) for crystalline Th3SbH at its relaxed geometry.

Calculated values
Space-group type: Pm-3m

```
Th3SbH
1.0
4.950 0.000 0.000
0.000 4.950 0.000
0.000 0.000 4.950
Th Sb H
3 1 1
Direct
0.000 0.000 0.500
0.000 0.500 0.000
0.500 0.000 0.000
0.500 0.500 0.500
0.000 0.000 0.000
```

***

version B wins, 0.026 eV/atom ahead of the next structure.